Entry 1:
This record from the Alexandria database describes crystalline Li4CaCl6 at its relaxed geometry. The functional is PBE-GGA.

## Properties
Raw formation energy in eV/f.u.: -21.46

Lattice parameters (Å, degrees): 3.7235 12.1465 18.8197 90.00 90.00 90.00
Closest atoms and distances in Å follow each position.
Space group Cmcm (No. 63)
Symmetry-distinct sites (fractional):
Li (0.0000, 0.1011, 0.1211) [8 per cell]  6 Cl 2.51-2.70
Li (0.0000, 0.3626, 0.0392) [8 per cell]  6 Cl 2.52-2.62
Ca (0.0000, 0.1532, 0.7500) [4 per cell]  6 Cl 2.74-2.82
Cl (0.0000, 0.0000, 0.0000) [4 per cell]  6 Li 2.59-2.61
Cl (0.0000, 0.1816, 0.2500) [4 per cell]  2 Li 2.61, 2 Ca 2.74
Cl (0.0000, 0.2741, 0.5826) [8 per cell]  5 Li 2.51-2.62
Cl (0.0000, 0.4516, 0.1601) [8 per cell]  3 Li 2.52-2.70, 2 Ca 2.82

Entry 2:
This record from the Alexandria database describes crystalline LiCaCl2 at its relaxed geometry. The functional is PBE-GGA.

## Properties
Excess energy over the best structure of this formula in the dataset in meV/atom: 69
Raw formation energy in eV/f.u.: -6.09

Lattice parameters (Å, degrees): 6.1082 6.1082 11.8009 90.00 90.00 90.00
Closest atoms and distances in Å follow each position.
Space group I-42d (No. 122)
Symmetry-distinct sites (fractional):
Li (0.0000, 0.0000, 0.0000) [4 per cell]  4 Cl 2.45
Ca (0.0000, 0.0000, 0.5000) [4 per cell]  4 Cl 2.80
Cl (0.2010, 0.2500, 0.1250) [8 per cell]  2 Li 2.45

Entry 3:
This record from the Alexandria database describes crystalline LiCa2Cl at its relaxed geometry. The functional is PBE-GGA.

## Properties
Excess energy over the best structure of this formula in the dataset in meV/atom: 206
Raw formation energy in eV/f.u.: -2.19

Lattice parameters (Å, degrees): 4.3356 4.3356 13.1239 90.00 90.00 90.00
Closest atoms and distances in Å follow each position.
Space group I-4m2 (No. 119)
Symmetry-distinct sites (fractional):
Li (0.0000, 0.0000, 0.0000) [2 per cell]  4 Ca 3.07
Ca (0.0000, 0.0000, 0.5000) [2 per cell]  4 Li 3.07
Ca (0.0000, 0.5000, 0.7500) [2 per cell]  4 Cl 3.07
Cl (0.0000, 0.5000, 0.2500) [2 per cell]  4 Ca 3.07

Entry 4:
This record from the Alexandria database describes crystalline LiCaCl2 at its relaxed geometry. The functional is PBE-GGA.

## Properties
Excess energy over the best structure of this formula in the dataset in meV/atom: 256
Raw formation energy in eV/f.u.: -5.34

Lattice parameters (Å, degrees): 7.0123 7.0123 7.0123 90.00 90.00 90.00
Closest atoms and distances in Å follow each position.
Space group Fm-3m (No. 225)
Symmetry-distinct sites (fractional):
Li (0.0000, 0.0000, 0.0000) [4 per cell]  8 Cl 3.04
Ca (0.0000, 0.0000, 0.5000) [4 per cell]  8 Cl 3.04
Cl (0.2500, 0.2500, 0.2500) [8 per cell]  4 Ca 3.04, 4 Li 3.04

Entry 5:
This record from the Alexandria database describes crystalline Li2CaCl at its relaxed geometry. The functional is PBE-GGA.

## Properties
Excess energy over the best structure of this formula in the dataset in meV/atom: 413
Raw formation energy in eV/f.u.: -1.42

Lattice parameters (Å, degrees): 7.4796 7.4796 7.4796 90.00 90.00 90.00
Closest atoms and distances in Å follow each position.
Space group F-43m (No. 216)
Symmetry-distinct sites (fractional):
Li (0.0000, 0.0000, 0.0000) [4 per cell]  4 Ca 3.24, 4 Li 3.24
Li (0.2500, 0.2500, 0.2500) [4 per cell]  4 Cl 3.24, 4 Li 3.24
Ca (0.2500, 0.2500, 0.7500) [4 per cell]  4 Cl 3.24, 4 Li 3.24
Cl (0.0000, 0.0000, 0.5000) [4 per cell]  4 Li 3.24, 4 Ca 3.24

Entry 6:
This record from the Alexandria database describes crystalline LiCa2Cl at its relaxed geometry. The functional is PBE-GGA.

## Properties
Excess energy over the best structure of this formula in the dataset in meV/atom: 126
Raw formation energy in eV/f.u.: -2.51

Lattice parameters (Å, degrees): 3.6189 5.6761 11.6361 90.00 90.00 90.00
Closest atoms and distances in Å follow each position.
Space group Imm2 (No. 44)
Symmetry-distinct sites (fractional):
Li (0.0000, 0.0000, 0.0000) [2 per cell]  2 Cl 3.15, 4 Ca 3.50
Ca (0.0000, 0.0000, 0.5828) [2 per cell]  2 Cl 2.91
Ca (0.0000, 0.5000, 0.7906) [2 per cell]  4 Cl 3.37, 4 Ca 3.62-3.73, 2 Li 3.74
Cl (0.0000, 0.5000, 0.2784) [2 per cell]  2 Ca 2.91, 2 Li 3.15

Entry 7:
This record from the Alexandria database describes crystalline LiCa2Cl at its relaxed geometry. The functional is PBE-GGA.

## Properties
Excess energy over the best structure of this formula in the dataset in meV/atom: 84
Raw formation energy in eV/f.u.: -2.68

Lattice parameters (Å, degrees): 3.7972 6.5756 10.6028 90.00 90.00 90.00
Closest atoms and distances in Å follow each position.
Space group Immm (No. 71)
Symmetry-distinct sites (fractional):
Li (0.0000, 0.0000, 0.0000) [2 per cell]  8 Ca 3.70-3.92, 4 Cl 3.80, 2 Li 3.80
Ca (0.0000, 0.5000, 0.2005) [4 per cell]  2 Cl 2.85
Cl (0.0000, 0.0000, 0.5000) [2 per cell]  4 Ca 2.85

Entry 8:
This record from the Alexandria database describes crystalline LiCa2Cl at its relaxed geometry. The functional is PBE-GGA.

## Properties
Excess energy over the best structure of this formula in the dataset in meV/atom: 347
Raw formation energy in eV/f.u.: -1.63

Lattice parameters (Å, degrees): 7.8616 7.8616 7.8616 90.00 90.00 90.00
Closest atoms and distances in Å follow each position.
Space group Fm-3m (No. 225)
Symmetry-distinct sites (fractional):
Li (0.0000, 0.0000, 0.0000) [4 per cell]  8 Ca 3.40
Ca (0.2500, 0.2500, 0.2500) [8 per cell]  4 Cl 3.40, 4 Li 3.40
Cl (0.0000, 0.0000, 0.5000) [4 per cell]  8 Ca 3.40

Entry 9:
This record from the Alexandria database describes crystalline LiCaCl3 at its relaxed geometry. The functional is PBE-GGA.

## Properties
Excess energy over the best structure of this formula in the dataset in meV/atom: 273
Raw formation energy in eV/f.u.: -9.28

Lattice parameters (Å, degrees): 5.3545 5.3545 5.3545 90.00 90.00 90.00
Closest atoms and distances in Å follow each position.
Space group Pm-3m (No. 221)
Symmetry-distinct sites (fractional):
Li (0.0000, 0.0000, 0.0000) [1 per cell]  12 Cl 3.79
Ca (0.5000, 0.5000, 0.5000) [1 per cell]  6 Cl 2.68
Cl (0.0000, 0.5000, 0.5000) [3 per cell]  2 Ca 2.68

Entry 10:
This record from the Alexandria database describes crystalline LiCa2Cl at its relaxed geometry. The functional is PBE-GGA.

## Properties
Excess energy over the best structure of this formula in the dataset in meV/atom: 634
Raw formation energy in eV/f.u.: -0.48

Lattice parameters (Å, degrees): 8.1767 8.1767 8.1767 90.00 90.00 90.00
Closest atoms and distances in Å follow each position.
Space group F-43m (No. 216)
Symmetry-distinct sites (fractional):
Li (0.0000, 0.0000, 0.0000) [4 per cell]  4 Ca 3.54, 4 Cl 3.54
Ca (0.0000, 0.0000, 0.5000) [4 per cell]  4 Cl 3.54, 4 Ca 3.54
Ca (0.2500, 0.2500, 0.2500) [4 per cell]  4 Ca 3.54, 4 Li 3.54
Cl (0.2500, 0.2500, 0.7500) [4 per cell]  4 Li 3.54, 4 Ca 3.54

Entry 11:
This record from the Alexandria database describes crystalline Li2CaCl at its relaxed geometry. The functional is PBE-GGA.

## Properties
Excess energy over the best structure of this formula in the dataset in meV/atom: 226
Raw formation energy in eV/f.u.: -2.17

Lattice parameters (Å, degrees): 5.5181 11.1100 3.6667 90.00 90.00 90.00
Closest atoms and distances in Å follow each position.
Space group Cmmm (No. 65)
Symmetry-distinct sites (fractional):
Li (0.2500, 0.2500, 0.0000) [4 per cell]  2 Li 2.76
Ca (0.0000, 0.0000, 0.5000) [2 per cell]  2 Cl 2.76
Cl (0.0000, 0.5000, 0.5000) [2 per cell]  2 Ca 2.76

Entry 12:
This record from the Alexandria database describes crystalline LiCa3Cl7 at its relaxed geometry. The functional is PBE-GGA.

## Properties
Raw formation energy in eV/f.u.: -24.49

Lattice parameters (Å, degrees): 10.3253 13.2176 8.5827 90.00 90.00 90.00
Closest atoms and distances in Å follow each position.
Space group C222_1 (No. 20)
Symmetry-distinct sites (fractional):
Li (0.0466, 0.0000, 0.0000) [4 per cell]  4 Cl 2.44-2.47
Ca (0.0600, 0.5000, 0.0000) [4 per cell]  6 Cl 2.76-2.89
Ca (0.2126, 0.2225, 0.2410) [8 per cell]  6 Cl 2.76-2.86
Cl (0.0000, 0.0850, 0.2500) [4 per cell]  2 Li 2.47
Cl (0.0000, 0.3607, 0.2500) [4 per cell]  4 Ca 2.86-2.89
Cl (0.0000, 0.3700, 0.7500) [4 per cell]  2 Ca 2.82
Cl (0.2092, 0.1302, 0.9520) [8 per cell]  1 Li 2.44
Cl (0.2273, 0.1248, 0.5285) [8 per cell]  3 Ca 2.76-2.79

no.,E (eV per cell)
1,-168.78
2,-54.80
3,-19.91
4,-51.81
5,-36.39
6,-20.55
7,-20.89
8,-37.56
9,-18.74
10,-32.98
11,-19.69
12,-181.36